(1)
Density functional theory data (GGA-PBE) for an optimized crystal structure of Cd2BiSe2.

```
Cd2BiSe2
1.0
-2.153 2.153 7.275
2.153 -2.153 7.275
2.153 2.153 -7.275
Cd Bi Se
2 1 2
Direct
0.250 0.750 0.500
0.750 0.250 0.500
0.000 0.000 0.000
0.375 0.375 0.000
0.625 0.625 0.000
```

## Properties
For the energy relative to the lowest polymorph listed for this composition, the calculation gives 206.6 meV per atom. For the magnetization, the calculation gives 0.000 μB per atom.



(2)
Density functional theory data (GGA-PBE) for an optimized crystal structure of OsRu2Cl.

```
OsRu2Cl
1.0
1.368 -2.438 0.000
1.368 2.438 0.000
0.000 0.000 9.315
Os Ru Cl
1 2 1
Direct
0.000 0.000 0.000
0.000 0.000 0.518
0.500 0.500 0.766
0.500 0.500 0.302
```

## Properties
For the energy relative to the lowest polymorph listed for this composition, the calculation gives 408.1 meV per atom. For the magnetization, the calculation gives 0.145 μB per atom.



(3)
Density functional theory data (GGA-PBE) for an optimized crystal structure of NpTiAlO6.

```
NpTiAlO6
1.0
5.006 0.000 0.000
-2.503 4.335 0.000
0.000 0.000 9.424
Np Ti Al O
2 2 2 12
Direct
0.000 0.000 0.000
0.000 0.000 0.500
0.333 0.667 0.250
0.667 0.333 0.750
0.333 0.667 0.750
0.667 0.333 0.250
0.008 0.353 0.637
0.008 0.655 0.863
0.345 0.353 0.863
0.345 0.992 0.637
0.353 0.008 0.137
0.353 0.345 0.363
0.647 0.655 0.637
0.647 0.992 0.863
0.655 0.008 0.363
0.655 0.647 0.137
0.992 0.345 0.137
0.992 0.647 0.363
```

## Properties
For the magnetization, the calculation gives 0.222 μB per atom. The uncorrected energy is -8.957 eV/atom.